Compound: LaCeF6
Source: Alexandria via LeMat-Bulk
Functional: SCAN
Structure: PBEsol geometry

Uncorrected formation energy in eV/atom: -4.3900
Calculated total energy in eV/atom: -18.00
Total magnetization in Bohr magnetons per cell: 1.0

Cell: 7.2455 4.1040 4.1040 Å, 59.87 90.00 90.00°
Closest atoms and distances in Å follow each position.
Fractional positions:
La: 0.0000 0.0000 0.0000  5 F 2.37-2.40
Ce: 0.5000 0.3353 0.3353  5 F 2.37-2.38
F: 0.0000 0.6670 0.6670  3 La 2.37
F: 0.1713 0.3340 0.3340  1 Ce 2.38, 4 F 2.48-2.64
F: 0.3310 0.0010 0.0010  1 La 2.40, 7 F 2.45-2.67, 3 Ce 2.66-2.67
F: 0.5000 0.6682 0.6682  3 Ce 2.37
F: 0.6690 0.0010 0.0010  1 La 2.40, 7 F 2.45-2.67, 3 Ce 2.66-2.67
F: 0.8287 0.3340 0.3340  1 Ce 2.38, 4 F 2.48-2.64